1.
# PBEsol KY3As, relaxed
data_KY3As
_space_group_name_H-M_alt 'P m -3 m'
_space_group_IT_number 221
_space_group_name_Hall '-P 4 2 3'
_cell_length_a 5.559
_cell_length_b 5.559
_cell_length_c 5.559
_cell_angle_alpha 90.00
_cell_angle_beta 90.00
_cell_angle_gamma 90.00
loop_
_atom_site_label
_atom_site_fract_x
_atom_site_fract_y
_atom_site_fract_z
K1 0.000 0.000 0.000
Y1 0.000 0.500 0.500
As1 0.500 0.500 0.500
# Formation energy from the elements ... -0.12 eV per atom
# E_tot ... -27.33 eV/f.u.

=====

2.
# PBEsol YSeCl3, relaxed
data_YSeCl3
_space_group_name_H-M_alt 'P m -3 m'
_space_group_IT_number 221
_space_group_name_Hall '-P 4 2 3'
_cell_length_a 5.213
_cell_length_b 5.213
_cell_length_c 5.213
_cell_angle_alpha 90.00
_cell_angle_beta 90.00
_cell_angle_gamma 90.00
loop_
_atom_site_label
_atom_site_fract_x
_atom_site_fract_y
_atom_site_fract_z
Y1 0.000 0.000 0.000
Se1 0.500 0.500 0.500
Cl1 0.000 0.000 0.500
# Raw formation energy ... -6.09 eV per formula unit
# E_tot ... -22.78 eV/f.u.

=====

3.
# PBEsol CuRhAu2, relaxed
data_CuRhAu2
_space_group_name_H-M_alt 'R -3 m'
_space_group_IT_number 166
_space_group_name_Hall '-R 3 2"'
_cell_length_a 2.7869
_cell_length_b 2.7869
_cell_length_c 26.4100
_cell_angle_alpha 90.00
_cell_angle_beta 90.00
_cell_angle_gamma 120.00
loop_
_atom_site_label
_atom_site_fract_x
_atom_site_fract_y
_atom_site_fract_z
Cu1 0.0000 0.0000 0.0000
Rh1 0.0000 0.0000 0.5000
Au1 0.0000 0.0000 0.2533
# Formation energy from the elements ... 0.10 eV per atom
# Polymorph energy (0 for the lowest one) ... 0.0414 eV/atom
# E_tot ... -19.91 eV/f.u.

=====

4.
# PBEsol HfInTeI2, relaxed
data_HfInTeI2
_space_group_name_H-M_alt 'P 4/m m m'
_space_group_IT_number 123
_space_group_name_Hall '-P 4 2'
_cell_length_a 5.607
_cell_length_b 5.607
_cell_length_c 5.549
_cell_angle_alpha 90.00
_cell_angle_beta 90.00
_cell_angle_gamma 90.00
loop_
_atom_site_label
_atom_site_fract_x
_atom_site_fract_y
_atom_site_fract_z
Hf1 0.000 0.000 0.000
In1 0.500 0.500 0.500
Te1 0.000 0.000 0.500
I1 0.000 0.500 0.000
# Raw formation energy ... -1.57 eV per formula unit
# E_tot ... -22.11 eV/f.u.

=====

5.
# PBEsol SmH18Br3O18, relaxed
data_SmH18Br3O18
_space_group_name_H-M_alt 'P 63 m c'
_space_group_IT_number 186
_space_group_name_Hall 'P 6c -2c'
_cell_length_a 11.7013
_cell_length_b 11.7013
_cell_length_c 6.5159
_cell_angle_alpha 90.00
_cell_angle_beta 90.00
_cell_angle_gamma 120.00
loop_
_atom_site_label
_atom_site_fract_x
_atom_site_fract_y
_atom_site_fract_z
Sm1 0.3333 0.6667 0.0000
H1 0.1150 0.3693 0.9862
H2 0.1230 0.4930 0.3170
H3 0.1259 0.4951 0.6703
Br1 0.1297 0.2594 0.4808
O1 0.0659 0.3619 0.4918
O2 0.0918 0.1835 0.7050
O3 0.1545 0.5772 0.2414
O4 0.1561 0.5780 0.7491
O5 0.2106 0.4212 0.0172
# E_tot ... -200.84 eV/f.u.

=====

6.
# PBEsol La2ZnRu, relaxed
data_La2ZnRu
_space_group_name_H-M_alt 'P 4/m m m'
_space_group_IT_number 123
_space_group_name_Hall '-P 4 2'
_cell_length_a 3.527
_cell_length_b 3.527
_cell_length_c 7.482
_cell_angle_alpha 90.00
_cell_angle_beta 90.00
_cell_angle_gamma 90.00
loop_
_atom_site_label
_atom_site_fract_x
_atom_site_fract_y
_atom_site_fract_z
La1 0.000 0.000 0.230
Zn1 0.500 0.500 0.500
Ru1 0.500 0.500 0.000
# Formation energy from the elements ... -0.16 eV per atom
# E_tot ... -23.10 eV/f.u.

=====

7.
# PBEsol LiZnP2, relaxed
data_LiZnP2
_space_group_name_H-M_alt 'R -3 m'
_space_group_IT_number 166
_space_group_name_Hall '-R 3 2"'
_cell_length_a 3.0287
_cell_length_b 3.0287
_cell_length_c 22.3817
_cell_angle_alpha 90.00
_cell_angle_beta 90.00
_cell_angle_gamma 120.00
loop_
_atom_site_label
_atom_site_fract_x
_atom_site_fract_y
_atom_site_fract_z
Li1 0.0000 0.0000 0.0000
Zn1 0.0000 0.0000 0.5000
P1 0.0000 0.0000 0.2467
# Formation energy from the elements ... -0.02 eV per atom
# E_tot ... -15.22 eV/f.u.

=====

8.
# PBEsol Mn2CuP, relaxed
data_Mn2CuP
_space_group_name_H-M_alt 'P 4 m m'
_space_group_IT_number 99
_space_group_name_Hall 'P 4 -2'
_cell_length_a 2.775
_cell_length_b 2.775
_cell_length_c 6.007
_cell_angle_alpha 90.00
_cell_angle_beta 90.00
_cell_angle_gamma 90.00
loop_
_atom_site_label
_atom_site_fract_x
_atom_site_fract_y
_atom_site_fract_z
Mn1 0.000 0.000 0.000
Mn2 0.500 0.500 0.267
Cu1 0.500 0.500 0.719
P1 0.000 0.000 0.458
# Formation energy from the elements ... 0.02 eV per atom
# E_tot ... -29.57 eV/f.u.

=====

9.
# PBEsol Ta3Os, relaxed
data_Ta3Os
_space_group_name_H-M_alt 'C m c m'
_space_group_IT_number 63
_space_group_name_Hall '-C 2c 2'
_cell_length_a 6.428
_cell_length_b 9.043
_cell_length_c 4.533
_cell_angle_alpha 90.00
_cell_angle_beta 90.00
_cell_angle_gamma 90.00
loop_
_atom_site_label
_atom_site_fract_x
_atom_site_fract_y
_atom_site_fract_z
Ta1 0.000 0.123 0.250
Ta2 0.247 0.375 0.250
Os1 0.000 0.373 0.750
# Formation energy from the elements ... -0.28 eV per atom
# E_tot ... -50.97 eV/f.u.

=====

10.
# PBEsol CoAg2W, relaxed
data_CoAg2W
_space_group_name_H-M_alt 'P 4/m m m'
_space_group_IT_number 123
_space_group_name_Hall '-P 4 2'
_cell_length_a 4.780
_cell_length_b 4.780
_cell_length_c 2.666
_cell_angle_alpha 90.00
_cell_angle_beta 90.00
_cell_angle_gamma 90.00
loop_
_atom_site_label
_atom_site_fract_x
_atom_site_fract_y
_atom_site_fract_z
Co1 0.000 0.000 0.000
Ag1 0.000 0.500 0.500
W1 0.500 0.500 0.000
# Formation energy from the elements ... 0.86 eV per atom
# Polymorph energy (0 for the lowest one) ... 0.3135 eV/atom
# E_tot ... -24.73 eV/f.u.

=====

11.
# PBEsol CaRh2Br, relaxed
data_CaRh2Br
_space_group_name_H-M_alt 'P 1 2/m 1'
_space_group_IT_number 10
_space_group_name_Hall '-P 2y'
_cell_length_a 3.126
_cell_length_b 4.811
_cell_length_c 4.689
_cell_angle_alpha 90.00
_cell_angle_beta 92.34
_cell_angle_gamma 90.00
loop_
_atom_site_label
_atom_site_fract_x
_atom_site_fract_y
_atom_site_fract_z
Ca1 0.000 0.000 0.000
Rh1 0.314 0.500 0.737
Br1 0.500 0.000 0.500
# Raw formation energy ... -0.12 eV per formula unit
# Polymorph energy (0 for the lowest one) ... 0.0000 eV/atom
# E_tot ... -20.40 eV/f.u.

=====

12.
# PBEsol YTaIn2, relaxed
data_YTaIn2
_space_group_name_H-M_alt 'C 1 2/m 1'
_space_group_IT_number 12
_space_group_name_Hall '-C 2y'
_cell_length_a 10.035
_cell_length_b 3.086
_cell_length_c 5.804
_cell_angle_alpha 90.00
_cell_angle_beta 97.60
_cell_angle_gamma 90.00
loop_
_atom_site_label
_atom_site_fract_x
_atom_site_fract_y
_atom_site_fract_z
Y1 0.000 0.000 0.000
Ta1 0.000 0.500 0.500
In1 0.244 0.000 0.725
# Formation energy from the elements ... 0.03 eV per atom
# E_tot ... -25.22 eV/f.u.

=====

13.
# PBEsol LaNi3B, relaxed
data_LaNi3B
_space_group_name_H-M_alt 'I m m a'
_space_group_IT_number 74
_space_group_name_Hall '-I 2b 2'
_cell_length_a 4.876
_cell_length_b 7.015
_cell_length_c 8.164
_cell_angle_alpha 90.00
_cell_angle_beta 90.00
_cell_angle_gamma 90.00
loop_
_atom_site_label
_atom_site_fract_x
_atom_site_fract_y
_atom_site_fract_z
La1 0.000 0.250 0.073
Ni1 0.000 0.000 0.500
Ni2 0.250 0.072 0.750
B1 0.000 0.250 0.631
# Formation energy from the elements ... -0.45 eV per atom
# E_tot ... -33.10 eV/f.u.

=====

14.
# PBEsol Mg2Tl, relaxed
data_Mg2Tl
_space_group_name_H-M_alt 'C 1 m 1'
_space_group_IT_number 8
_space_group_name_Hall 'C -2y'
_cell_length_a 11.291
_cell_length_b 3.401
_cell_length_c 7.518
_cell_angle_alpha 90.00
_cell_angle_beta 102.33
_cell_angle_gamma 90.00
loop_
_atom_site_label
_atom_site_fract_x
_atom_site_fract_y
_atom_site_fract_z
Mg1 0.000 0.000 0.000
Mg2 0.061 0.000 0.600
Mg3 0.220 0.500 0.931
Mg4 0.375 0.000 0.271
Tl1 0.154 0.500 0.315
Tl2 0.345 0.000 0.675
# Formation energy from the elements ... -0.05 eV per atom
# E_tot ... -6.21 eV/f.u.

=====

15.
# PBEsol Ag4C, relaxed
data_Ag4C
_space_group_name_H-M_alt 'I 4/m m m'
_space_group_IT_number 139
_space_group_name_Hall '-I 4 2'
_cell_length_a 3.559
_cell_length_b 3.559
_cell_length_c 13.886
_cell_angle_alpha 90.00
_cell_angle_beta 90.00
_cell_angle_gamma 90.00
loop_
_atom_site_label
_atom_site_fract_x
_atom_site_fract_y
_atom_site_fract_z
Ag1 0.000 0.000 0.092
Ag2 0.000 0.500 0.250
C1 0.000 0.000 0.500
# Formation energy from the elements ... 1.49 eV per atom
# Polymorph energy (0 for the lowest one) ... 0.6396 eV/atom
# E_tot ... -15.46 eV/f.u.

=====

16.
# PBEsol Na2TeH5SO10, relaxed
data_Na2TeH5SO10
_space_group_name_H-M_alt 'C 1 c 1'
_space_group_IT_number 9
_space_group_name_Hall 'C -2yc'
_cell_length_a 5.417
_cell_length_b 10.269
_cell_length_c 14.848
_cell_angle_alpha 90.00
_cell_angle_beta 93.90
_cell_angle_gamma 90.00
loop_
_atom_site_label
_atom_site_fract_x
_atom_site_fract_y
_atom_site_fract_z
Na1 0.000 0.057 0.000
Na2 0.389 0.248 0.311
Te1 0.028 0.475 0.194
H1 0.077 0.021 0.682
H2 0.208 0.366 0.064
H3 0.363 0.252 0.697
H4 0.383 0.468 0.804
H5 0.489 0.193 0.121
S1 0.430 0.240 0.937
O1 0.031 0.288 0.210
O2 0.078 0.335 0.681
O3 0.167 0.460 0.079
O4 0.184 0.308 0.437
O5 0.201 0.025 0.633
O6 0.254 0.155 0.880
O7 0.336 0.234 0.030
O8 0.366 0.468 0.253
O9 0.400 0.020 0.307
O10 0.410 0.375 0.903
# E_tot ... -102.76 eV/f.u.

=====

17.
# PBEsol AlZnIn4, relaxed
data_AlZnIn4
_space_group_name_H-M_alt 'F -4 3 m'
_space_group_IT_number 216
_space_group_name_Hall 'F -4 2 3'
_cell_length_a 8.426
_cell_length_b 8.426
_cell_length_c 8.426
_cell_angle_alpha 90.00
_cell_angle_beta 90.00
_cell_angle_gamma 90.00
loop_
_atom_site_label
_atom_site_fract_x
_atom_site_fract_y
_atom_site_fract_z
Al1 0.000 0.000 0.000
Zn1 0.250 0.250 0.750
In1 0.125 0.125 0.375
# Formation energy from the elements ... 0.36 eV per atom
# E_tot ... -15.46 eV/f.u.

=====

18.
# PBEsol InSi2Ge, relaxed
data_InSi2Ge
_space_group_name_H-M_alt 'I -4 2 d'
_space_group_IT_number 122
_space_group_name_Hall 'I -4 2bw'
_cell_length_a 5.855
_cell_length_b 5.855
_cell_length_c 11.190
_cell_angle_alpha 90.00
_cell_angle_beta 90.00
_cell_angle_gamma 90.00
loop_
_atom_site_label
_atom_site_fract_x
_atom_site_fract_y
_atom_site_fract_z
In1 0.000 0.000 0.000
Si1 0.221 0.250 0.625
Ge1 0.000 0.000 0.500
# Raw formation energy ... 1.07 eV per formula unit
# E_tot ... -18.35 eV/f.u.

=====

19.
# PBEsol Tl3FeCl5, relaxed
data_Tl3FeCl5
_space_group_name_H-M_alt 'I 4/m c m'
_space_group_IT_number 140
_space_group_name_Hall '-I 4 2c'
_cell_length_a 8.147
_cell_length_b 8.147
_cell_length_c 14.445
_cell_angle_alpha 90.00
_cell_angle_beta 90.00
_cell_angle_gamma 90.00
loop_
_atom_site_label
_atom_site_fract_x
_atom_site_fract_y
_atom_site_fract_z
Tl1 0.000 0.000 0.250
Tl2 0.156 0.344 0.000
Fe1 0.000 0.500 0.250
Cl1 0.000 0.000 0.000
Cl2 0.155 0.345 0.346
# Raw formation energy ... -7.44 eV per formula unit
# E_tot ... -34.33 eV/f.u.

=====

20.
# PBEsol BeZnO2, relaxed
data_BeZnO2
_space_group_name_H-M_alt 'F m -3 m'
_space_group_IT_number 225
_space_group_name_Hall '-F 4 2 3'
_cell_length_a 5.048
_cell_length_b 5.048
_cell_length_c 5.048
_cell_angle_alpha 90.00
_cell_angle_beta 90.00
_cell_angle_gamma 90.00
loop_
_atom_site_label
_atom_site_fract_x
_atom_site_fract_y
_atom_site_fract_z
Be1 0.000 0.000 0.000
Zn1 0.000 0.000 0.500
O1 0.250 0.250 0.250
# Raw formation energy ... -3.34 eV per formula unit
# E_tot ... -19.42 eV/f.u.

=====

no.,spin magnetization (μB/f.u.)
1,0.97
2,2.00
3,0.05
4,0.00
5,0.00
6,0.00
7,0.00
8,2.67
9,0.00
10,1.83
11,0.00
12,0.00
13,0.00
14,0.00
15,0.00
16,1.08
17,0.00
18,0.00
19,4.00
20,0.00